Density functional theory data (GGA-PBE) for crystalline MgIn2Cu at its relaxed geometry.

Cell: 3.3078 3.3078 26.8053 Å, 90.00 90.00 120.00°
Space group R-3m (No. 166, hexagonal axes)
Symmetry-distinct sites (fractional):
Mg 0.0000 0.0000 0.0000 x3
In 0.0000 0.0000 0.2415 x6
Cu 0.0000 0.0000 0.5000 x3

* DOS at the Fermi energy: 2.9 states/eV per cell
* energy of formation: 0.015 eV/atom